*i*
The following is a DFT calculation (PBE) of RbNaInHg2 after structural relaxation.

## Properties
As for the space-group type: P4/mmm, No. 123. The spin magnetization comes out at 0.0 μB per formula unit. The density of states at the Fermi level is 1.509 states/eV/f.u.

Lattice parameters (Å, degrees): 5.7356 5.7356 5.9730 90.00 90.00 90.00
Last column: nearest neighbours and their distance in Å.
Positions (direct):
Na: 0.0000 0.0000 0.5000  2 In 2.99
Hg: 0.0000 0.5000 0.0000  2 In 2.87
Hg: 0.5000 0.0000 0.0000  2 In 2.87
Rb: 0.5000 0.5000 0.5000  4 Na 4.06, 8 Hg 4.14
In: 0.0000 0.0000 0.0000  4 Hg 2.87, 2 Na 2.99

*ii*
The following is a DFT calculation (PBE) of RbNaInHg2 after structural relaxation.

## Properties
As for the space-group type: I-4m2, No. 119. The spin magnetization comes out at 0.0 μB per formula unit. The density of states at the Fermi level is 3.165 states/eV/f.u.

Lattice parameters (Å, degrees): 4.9503 4.9503 7.6174 108.96 108.96 90.00
Last column: nearest neighbours and their distance in Å.
Positions (direct):
Rb: 0.0000 0.0000 0.0000  8 Hg 3.81, 4 In 4.19, 4 Na 4.19
Na: 0.7500 0.2500 0.5000  4 Hg 3.10
In: 0.2500 0.7500 0.5000  4 Hg 3.10
Hg: 0.6120 0.6120 0.2241  1 Hg 3.03, 2 In 3.10, 2 Na 3.10
Hg: 0.3880 0.3880 0.7759  1 Hg 3.03, 2 Na 3.10, 2 In 3.10

*ii* is preferred energetically. Next in line: 93 meV/atom higher.

*i*
The following is a DFT calculation (PBE) of NaInSnHg after structural relaxation.

## Properties
As for the space-group type: F-43m, No. 216. The spin magnetization comes out at 0.0 μB per formula unit. The density of states at the Fermi level is 1.463 states/eV/f.u.

Lattice parameters (Å, degrees): 5.2775 5.2775 5.2775 60.00 60.00 60.00
Last column: nearest neighbours and their distance in Å.
Positions (direct):
Na: 0.7500 0.7500 0.7500  4 Hg 3.23, 4 In 3.23
In: 0.5000 0.5000 0.5000  4 Sn 3.23, 4 Na 3.23
Hg: 0.0000 0.0000 0.0000  4 Sn 3.23, 4 Na 3.23
Sn: 0.2500 0.2500 0.2500  4 In 3.23, 4 Hg 3.23

*ii*
The following is a DFT calculation (PBE) of NaInSnHg after structural relaxation.

## Properties
As for the space-group type: I4mm, No. 107. The spin magnetization comes out at 0.0 μB per formula unit. The density of states at the Fermi level is 1.923 states/eV/f.u.

Lattice parameters (Å, degrees): 4.0811 4.0811 7.6549 105.46 105.46 90.00
Last column: nearest neighbours and their distance in Å.
Positions (direct):
Na: 0.7850 0.7850 0.5700  4 Hg 3.08, 1 In 3.21
In: 0.0110 0.0110 0.0221  1 Hg 2.81, 4 Sn 3.13
Sn: 0.4250 0.4250 0.8500  1 Hg 3.06, 4 In 3.13
Hg: 0.2094 0.2094 0.4187  1 In 2.81, 1 Sn 3.06, 4 Na 3.08

*i* is preferred energetically. Next in line: 95 meV/atom higher.

*i*
The following is a DFT calculation (PBE) of NaTbInHg after structural relaxation.

## Properties
As for the space-group type: F-43m, No. 216. The spin magnetization comes out at 0.0 μB per formula unit. The density of states at the Fermi level is 2.212 states/eV/f.u.

Lattice parameters (Å, degrees): 5.2397 5.2397 5.2397 60.00 60.00 60.00
Last column: nearest neighbours and their distance in Å.
Positions (direct):
Na: 0.7500 0.7500 0.7500  4 In 3.21, 4 Hg 3.21
Tb: 0.2500 0.2500 0.2500  4 Hg 3.21, 4 In 3.21
Hg: 0.5000 0.5000 0.5000  4 Na 3.21, 4 Tb 3.21
In: 0.0000 0.0000 0.0000  4 Tb 3.21, 4 Na 3.21

*ii*
The following is a DFT calculation (PBE) of NaTbInHg after structural relaxation.

## Properties
As for the space-group type: P4mm, No. 99. The spin magnetization comes out at 0.1 μB per formula unit. The density of states at the Fermi level is 2.380 states/eV/f.u.

Lattice parameters (Å, degrees): 3.6907 3.6907 7.7016 90.00 90.00 90.00
Last column: nearest neighbours and their distance in Å.
Positions (direct):
Na: 0.0000 0.0000 0.8497  4 Hg 3.22, 4 In 3.29
Tb: 0.0000 0.0000 0.3641  4 Hg 3.20, 4 In 3.27
In: 0.5000 0.5000 0.1092  4 Tb 3.27, 4 Na 3.29
Hg: 0.5000 0.5000 0.6050  4 Tb 3.20, 4 Na 3.22

*i* is preferred energetically. Next in line: 13 meV/atom higher.

*i*
The following is a DFT calculation (PBE) of NaInHgTe after structural relaxation.

## Properties
As for the space-group type: Cm, No. 8. The spin magnetization comes out at 0.0 μB per formula unit. The density of states at the Fermi level is 0.325 states/eV/f.u.

Lattice parameters (Å, degrees): 4.4124 4.4124 9.5881 89.98 103.31 120.05
Last column: nearest neighbours and their distance in Å.
Positions (direct):
Na: 0.6539 0.6529 0.3067  3 Te 3.11
In: 0.7359 0.1934 0.9294  3 Te 3.06, 1 Hg 3.19
Hg: 0.5042 0.0796 0.5838  1 In 3.19
Te: 0.1918 0.9217 0.1135  3 In 3.06, 3 Na 3.11

*ii*
The following is a DFT calculation (PBE) of NaInHgTe after structural relaxation.

## Properties
As for the space-group type: F-43m, No. 216. The spin magnetization comes out at 0.0 μB per formula unit.

Lattice parameters (Å, degrees): 5.5137 5.5137 5.5137 60.00 60.00 60.00
Last column: nearest neighbours and their distance in Å.
Positions (direct):
Na: 0.0000 0.0000 0.0000  4 Hg 3.38, 4 Te 3.38
Te: 0.2500 0.2500 0.2500  4 In 3.38, 4 Na 3.38
Hg: 0.7500 0.7500 0.7500  4 In 3.38, 4 Na 3.38
In: 0.5000 0.5000 0.5000  4 Te 3.38, 4 Hg 3.38

*ii* is preferred energetically. Next in line: 68 meV/atom higher.

*i*
The following is a DFT calculation (PBE) of Nb3InHg after structural relaxation.

## Properties
As for the space-group type: Pm-3m, No. 221. The spin magnetization comes out at 0.0 μB per formula unit. The density of states at the Fermi level is 2.139 states/eV/f.u.

Lattice parameters (Å, degrees): 5.0311 5.0311 5.0311 90.00 90.00 90.00
Last column: nearest neighbours and their distance in Å.
Positions (direct):
Nb: 0.0000 0.5000 0.0000  2 In 2.52
Nb: 0.0000 0.0000 0.5000  2 In 2.52
Nb: 0.5000 0.0000 0.0000  2 In 2.52
Hg: 0.5000 0.5000 0.5000  12 Nb 3.56
In: 0.0000 0.0000 0.0000  6 Nb 2.52

*ii*
The following is a DFT calculation (PBE) of Nb3InHg after structural relaxation.

## Properties
As for the space-group type: Pm-3m, No. 221. The spin magnetization comes out at 0.0 μB per formula unit. The density of states at the Fermi level is 3.642 states/eV/f.u.

Lattice parameters (Å, degrees): 5.0553 5.0553 5.0553 90.00 90.00 90.00
Last column: nearest neighbours and their distance in Å.
Positions (direct):
Nb: 0.0000 0.5000 0.0000  2 Hg 2.53
Nb: 0.0000 0.0000 0.5000  2 Hg 2.53
Nb: 0.5000 0.0000 0.0000  2 Hg 2.53
Hg: 0.0000 0.0000 0.0000  6 Nb 2.53
In: 0.5000 0.5000 0.5000  12 Nb 3.57

*ii* is preferred energetically. Next in line: 70 meV/atom higher.

*i*
The following is a DFT calculation (PBE) of NbIn3Hg after structural relaxation.

## Properties
As for the space-group type: Pm-3m, No. 221. The spin magnetization comes out at 0.9 μB per formula unit. The density of states at the Fermi level is 5.012 states/eV/f.u.

Lattice parameters (Å, degrees): 5.5093 5.5093 5.5093 90.00 90.00 90.00
Last column: nearest neighbours and their distance in Å.
Positions (direct):
Nb: 0.0000 0.0000 0.0000  6 In 2.75
Hg: 0.5000 0.5000 0.5000  12 In 3.90
In: 0.0000 0.5000 0.0000  2 Nb 2.75
In: 0.0000 0.0000 0.5000  2 Nb 2.75
In: 0.5000 0.0000 0.0000  2 Nb 2.75

*ii*
The following is a DFT calculation (PBE) of NbIn3Hg after structural relaxation.

## Properties
As for the space-group type: Pm-3m, No. 221. The spin magnetization comes out at 3.6 μB per formula unit. The density of states at the Fermi level is 5.295 states/eV/f.u.

Lattice parameters (Å, degrees): 5.4222 5.4222 5.4222 90.00 90.00 90.00
Last column: nearest neighbours and their distance in Å.
Positions (direct):
Nb: 0.5000 0.5000 0.5000  12 In 3.83
Hg: 0.0000 0.0000 0.0000  6 In 2.71
In: 0.0000 0.5000 0.0000  2 Hg 2.71
In: 0.0000 0.0000 0.5000  2 Hg 2.71
In: 0.5000 0.0000 0.0000  2 Hg 2.71

*i* is preferred energetically. Next in line: 559 meV/atom higher.